A plane-wave DFT calculation with PBE was carried out for crystalline KRbSr2Ag at its relaxed geometry.

Cell and atoms, written as extended XYZ:
```
5
Lattice="6.374 0.000 0.000 0.000 6.374 0.000 0.000 0.000 6.903" Properties=species:S:1:pos:R:3 pbc="T T T"
K 0.000 0.000 3.452
Sr 0.000 3.187 0.000
Sr 3.187 0.000 0.000
Rb 3.187 3.187 3.452
Ag 0.000 0.000 0.000
```

Values from the calculation:
As for the symmetry: P4/mmm, No. 123. The value obtained for the energy of formation from the pure elements is 2 kJ/mol of atoms.